Entry a
This record from the Alexandria database describes a geometry-optimized Pm2MgCu structure. The functional is PBE-GGA.

Cell and atoms, written as CIF:
```
data_Pm2MgCu
_cell_length_a 7.4372
_cell_length_b 7.4372
_cell_length_c 7.4372
_cell_angle_alpha 90.00
_cell_angle_beta 90.00
_cell_angle_gamma 90.00
_symmetry_space_group_name_H-M 'F m -3 m'
_symmetry_Int_Tables_number 225
_symmetry_space_group_name_Hall '-F 4 2 3'
loop_
_atom_site_label
_atom_site_fract_x
_atom_site_fract_y
_atom_site_fract_z
Pm1 0.2500 0.2500 0.2500
Mg1 0.0000 0.0000 0.0000
Cu1 0.0000 0.0000 0.5000
```

V, Å³/cell: 411.4
DOS at the Fermi energy, states/eV per atom: 1.119
Total moment, μB/atom: 0.000


Entry b
This record from the Alexandria database describes a geometry-optimized Pm2MgCu structure. The functional is PBE-GGA.

Cell and atoms, written as CIF:
```
data_Pm2MgCu
_cell_length_a 3.6770
_cell_length_b 3.6770
_cell_length_c 7.5764
_cell_angle_alpha 90.00
_cell_angle_beta 90.00
_cell_angle_gamma 90.00
_symmetry_space_group_name_H-M 'P 4/m m m'
_symmetry_Int_Tables_number 123
_symmetry_space_group_name_Hall '-P 4 2'
loop_
_atom_site_label
_atom_site_fract_x
_atom_site_fract_y
_atom_site_fract_z
Pm1 0.0000 0.0000 0.2240
Mg1 0.5000 0.5000 0.5000
Cu1 0.5000 0.5000 0.0000
```

V, Å³/cell: 102.4
DOS at the Fermi energy, states/eV per atom: 1.157
Total moment, μB/atom: 0.000


Entry c
This record from the Alexandria database describes a geometry-optimized Pm2MgCu structure. The functional is PBE-GGA.

Cell and atoms, written as CIF:
```
data_Pm2MgCu
_cell_length_a 3.4364
_cell_length_b 3.4364
_cell_length_c 33.3002
_cell_angle_alpha 90.00
_cell_angle_beta 90.00
_cell_angle_gamma 120.00
_symmetry_space_group_name_H-M 'R -3 m'
_symmetry_Int_Tables_number 166
_symmetry_space_group_name_Hall '-R 3 2"'
loop_
_atom_site_label
_atom_site_fract_x
_atom_site_fract_y
_atom_site_fract_z
Pm1 0.0000 0.0000 0.1016
Mg1 0.0000 0.0000 0.0000
Cu1 0.0000 0.0000 0.5000
```

V, Å³/cell: 340.6
DOS at the Fermi energy, states/eV per atom: 0.880
Total moment, μB/atom: 0.000


entry b is favored, and the nearest alternative lies 71 meV/atom above it.


Entry a
This record from the Alexandria database describes a geometry-optimized PmMg3Cu structure. The functional is PBE-GGA.

Cell and atoms, written as CIF:
```
data_PmMg3Cu
_cell_length_a 8.3759
_cell_length_b 12.4352
_cell_length_c 4.3510
_cell_angle_alpha 90.00
_cell_angle_beta 90.00
_cell_angle_gamma 90.00
_symmetry_space_group_name_H-M 'C m m m'
_symmetry_Int_Tables_number 65
_symmetry_space_group_name_Hall '-C 2 2'
loop_
_atom_site_label
_atom_site_fract_x
_atom_site_fract_y
_atom_site_fract_z
Pm1 0.0000 0.2089 0.0000
Mg1 0.0000 0.0000 0.5000
Mg2 0.0000 0.5000 0.0000
Mg3 0.1955 0.3725 0.5000
Cu1 0.1877 0.0000 0.0000
```

V, Å³/cell: 453.2
DOS at the Fermi energy, states/eV per atom: 0.632
Total moment, μB/atom: 0.000


Entry b
This record from the Alexandria database describes a geometry-optimized PmMg3Cu structure. The functional is PBE-GGA.

Cell and atoms, written as CIF:
```
data_PmMg3Cu
_cell_length_a 4.6983
_cell_length_b 4.7907
_cell_length_c 10.6364
_cell_angle_alpha 90.00
_cell_angle_beta 90.00
_cell_angle_gamma 90.00
_symmetry_space_group_name_H-M 'A m m 2'
_symmetry_Int_Tables_number 38
_symmetry_space_group_name_Hall 'A 2 -2'
loop_
_atom_site_label
_atom_site_fract_x
_atom_site_fract_y
_atom_site_fract_z
Pm1 0.0000 0.0000 0.0000
Mg1 0.0000 0.0000 0.7037
Mg2 0.5000 0.0000 0.2270
Mg3 0.5000 0.0000 0.5080
Cu1 0.0000 0.0000 0.3467
```

V, Å³/cell: 239.4
DOS at the Fermi energy, states/eV per atom: 0.653
Total moment, μB/atom: 0.000


entry a is favored, and the nearest alternative lies 111 meV/atom above it.


Entry a
This record from the Alexandria database describes a geometry-optimized Pr3Mg5Cu2 structure. The functional is PBE-GGA.

Cell and atoms, written as CIF:
```
data_Pr3Mg5Cu2
_cell_length_a 10.5805
_cell_length_b 10.5805
_cell_length_c 4.3663
_cell_angle_alpha 90.00
_cell_angle_beta 90.00
_cell_angle_gamma 90.00
_symmetry_space_group_name_H-M 'P 4/m b m'
_symmetry_Int_Tables_number 127
_symmetry_space_group_name_Hall '-P 4 2ab'
loop_
_atom_site_label
_atom_site_fract_x
_atom_site_fract_y
_atom_site_fract_z
Pr1 0.0000 0.0000 0.0000
Pr2 0.1785 0.3215 0.0000
Mg1 0.0000 0.5000 0.5000
Mg2 0.0652 0.7758 0.5000
Cu1 0.1143 0.6143 0.0000
```

V, Å³/cell: 488.8
DOS at the Fermi energy, states/eV per atom: 0.939
Total moment, μB/atom: 0.000


Entry b
This record from the Alexandria database describes a geometry-optimized Pr3Mg5Cu2 structure. The functional is PBE-GGA.

Cell and atoms, written as CIF:
```
data_Pr3Mg5Cu2
_cell_length_a 10.7894
_cell_length_b 14.7257
_cell_length_c 6.3197
_cell_angle_alpha 90.00
_cell_angle_beta 90.00
_cell_angle_gamma 90.00
_symmetry_space_group_name_H-M 'I b a m'
_symmetry_Int_Tables_number 72
_symmetry_space_group_name_Hall '-I 2 2c'
loop_
_atom_site_label
_atom_site_fract_x
_atom_site_fract_y
_atom_site_fract_z
Pr1 0.0000 0.0000 0.2500
Pr2 0.2135 0.1710 0.0000
Mg1 0.0000 0.3045 0.2500
Mg2 0.0000 0.5000 0.2500
Mg3 0.2170 0.4285 0.0000
Cu1 0.0841 0.1728 0.5000
```

V, Å³/cell: 1004.1
DOS at the Fermi energy, states/eV per atom: 0.770
Total moment, μB/atom: 0.000


entry a is favored, and the nearest alternative lies 103 meV/atom above it.


Entry a
This record from the Alexandria database describes a geometry-optimized Mg2CuPt2 structure. The functional is PBE-GGA.

Cell and atoms, written as CIF:
```
data_Mg2CuPt2
_cell_length_a 7.5370
_cell_length_b 7.5370
_cell_length_c 2.9001
_cell_angle_alpha 90.00
_cell_angle_beta 90.00
_cell_angle_gamma 90.00
_symmetry_space_group_name_H-M 'P 4/m b m'
_symmetry_Int_Tables_number 127
_symmetry_space_group_name_Hall '-P 4 2ab'
loop_
_atom_site_label
_atom_site_fract_x
_atom_site_fract_y
_atom_site_fract_z
Mg1 0.1408 0.3592 0.0000
Cu1 0.0000 0.0000 0.0000
Pt1 0.1573 0.6573 0.5000
```

V, Å³/cell: 164.7
DOS at the Fermi energy, states/eV per atom: 0.328
Total moment, μB/atom: 0.000


Entry b
This record from the Alexandria database describes a geometry-optimized Mg2CuPt2 structure. The functional is PBE-GGA.

Cell and atoms, written as CIF:
```
data_Mg2CuPt2
_cell_length_a 7.4032
_cell_length_b 7.4032
_cell_length_c 3.0158
_cell_angle_alpha 90.00
_cell_angle_beta 90.00
_cell_angle_gamma 90.00
_symmetry_space_group_name_H-M 'P 4/m b m'
_symmetry_Int_Tables_number 127
_symmetry_space_group_name_Hall '-P 4 2ab'
loop_
_atom_site_label
_atom_site_fract_x
_atom_site_fract_y
_atom_site_fract_z
Mg1 0.1549 0.3451 0.0000
Cu1 0.0000 0.0000 0.5000
Pt1 0.1444 0.6444 0.5000
```

V, Å³/cell: 165.3
DOS at the Fermi energy, states/eV per atom: 0.341
Total moment, μB/atom: 0.000


entry b is favored, and the nearest alternative lies 73 meV/atom above it.


Entry a
This record from the Alexandria database describes a geometry-optimized Mg4CuPt structure. The functional is PBE-GGA.

Cell and atoms, written as CIF:
```
data_Mg4CuPt
_cell_length_a 6.4629
_cell_length_b 6.4629
_cell_length_c 5.3356
_cell_angle_alpha 90.00
_cell_angle_beta 90.00
_cell_angle_gamma 90.00
_symmetry_space_group_name_H-M 'I 4 2 2'
_symmetry_Int_Tables_number 97
_symmetry_space_group_name_Hall 'I 4 2'
loop_
_atom_site_label
_atom_site_fract_x
_atom_site_fract_y
_atom_site_fract_z
Mg1 0.1703 0.3297 0.2500
Cu1 0.0000 0.0000 0.5000
Pt1 0.0000 0.0000 0.0000
```

V, Å³/cell: 222.9
DOS at the Fermi energy, states/eV per atom: 0.407
Total moment, μB/atom: 0.000


Entry b
This record from the Alexandria database describes a geometry-optimized Mg4CuPt structure. The functional is PBE-GGA.

Cell and atoms, written as CIF:
```
data_Mg4CuPt
_cell_length_a 7.6105
_cell_length_b 7.6105
_cell_length_c 7.6105
_cell_angle_alpha 90.00
_cell_angle_beta 90.00
_cell_angle_gamma 90.00
_symmetry_space_group_name_H-M 'F -4 3 m'
_symmetry_Int_Tables_number 216
_symmetry_space_group_name_Hall 'F -4 2 3'
loop_
_atom_site_label
_atom_site_fract_x
_atom_site_fract_y
_atom_site_fract_z
Mg1 0.1247 0.1247 0.1247
Cu1 0.0000 0.0000 0.5000
Pt1 0.2500 0.2500 0.7500
```

V, Å³/cell: 440.8
DOS at the Fermi energy, states/eV per atom: 0.394
Total moment, μB/atom: 0.000


entry a is favored, and the nearest alternative lies 565 meV/atom above it.


Entry a
This record from the Alexandria database describes a geometry-optimized Mg2Cu2Pt structure. The functional is PBE-GGA.

Cell and atoms, written as CIF:
```
data_Mg2Cu2Pt
_cell_length_a 6.5369
_cell_length_b 6.5369
_cell_length_c 3.7371
_cell_angle_alpha 90.00
_cell_angle_beta 90.00
_cell_angle_gamma 90.00
_symmetry_space_group_name_H-M 'P 4/m b m'
_symmetry_Int_Tables_number 127
_symmetry_space_group_name_Hall '-P 4 2ab'
loop_
_atom_site_label
_atom_site_fract_x
_atom_site_fract_y
_atom_site_fract_z
Mg1 0.1782 0.3218 0.0000
Cu1 0.1271 0.6271 0.5000
Pt1 0.0000 0.0000 0.5000
```

V, Å³/cell: 159.7
DOS at the Fermi energy, states/eV per atom: 0.394
Total moment, μB/atom: 0.000


Entry b
This record from the Alexandria database describes a geometry-optimized Mg2Cu2Pt structure. The functional is PBE-GGA.

Cell and atoms, written as CIF:
```
data_Mg2Cu2Pt
_cell_length_a 3.8929
_cell_length_b 3.8929
_cell_length_c 10.8800
_cell_angle_alpha 90.00
_cell_angle_beta 90.00
_cell_angle_gamma 90.00
_symmetry_space_group_name_H-M 'I 4/m m m'
_symmetry_Int_Tables_number 139
_symmetry_space_group_name_Hall '-I 4 2'
loop_
_atom_site_label
_atom_site_fract_x
_atom_site_fract_y
_atom_site_fract_z
Mg1 0.0000 0.5000 0.2500
Cu1 0.0000 0.0000 0.1009
Pt1 0.0000 0.0000 0.5000
```

V, Å³/cell: 164.9
DOS at the Fermi energy, states/eV per atom: 0.322
Total moment, μB/atom: 0.000


Entry c
This record from the Alexandria database describes a geometry-optimized Mg2Cu2Pt structure. The functional is PBE-GGA.

Cell and atoms, written as CIF:
```
data_Mg2Cu2Pt
_cell_length_a 7.2404
_cell_length_b 7.2404
_cell_length_c 2.9446
_cell_angle_alpha 90.00
_cell_angle_beta 90.00
_cell_angle_gamma 90.00
_symmetry_space_group_name_H-M 'P 4/m b m'
_symmetry_Int_Tables_number 127
_symmetry_space_group_name_Hall '-P 4 2ab'
loop_
_atom_site_label
_atom_site_fract_x
_atom_site_fract_y
_atom_site_fract_z
Mg1 0.1634 0.3366 0.0000
Cu1 0.1314 0.6314 0.5000
Pt1 0.0000 0.0000 0.0000
```

V, Å³/cell: 154.4
DOS at the Fermi energy, states/eV per atom: 0.320
Total moment, μB/atom: 0.000


entry a is favored, and the nearest alternative lies 196 meV/atom above it.


Entry a
This record from the Alexandria database describes a geometry-optimized MgZnCuPt structure. The functional is PBE-GGA.

Cell and atoms, written as CIF:
```
data_MgZnCuPt
_cell_length_a 4.0554
_cell_length_b 4.0554
_cell_length_c 7.1605
_cell_angle_alpha 90.00
_cell_angle_beta 90.00
_cell_angle_gamma 90.00
_symmetry_space_group_name_H-M 'I -4 m 2'
_symmetry_Int_Tables_number 119
_symmetry_space_group_name_Hall 'I -4 -2'
loop_
_atom_site_label
_atom_site_fract_x
_atom_site_fract_y
_atom_site_fract_z
Mg1 0.0000 0.0000 0.0000
Zn1 0.0000 0.0000 0.5000
Cu1 0.0000 0.5000 0.2500
Pt1 0.0000 0.5000 0.7500
```

V, Å³/cell: 117.8
DOS at the Fermi energy, states/eV per atom: 0.269
Total moment, μB/atom: 0.000


Entry b
This record from the Alexandria database describes a geometry-optimized MgZnCuPt structure. The functional is PBE-GGA.

Cell and atoms, written as CIF:
```
data_MgZnCuPt
_cell_length_a 6.1816
_cell_length_b 6.1816
_cell_length_c 6.1816
_cell_angle_alpha 90.00
_cell_angle_beta 90.00
_cell_angle_gamma 90.00
_symmetry_space_group_name_H-M 'F -4 3 m'
_symmetry_Int_Tables_number 216
_symmetry_space_group_name_Hall 'F -4 2 3'
loop_
_atom_site_label
_atom_site_fract_x
_atom_site_fract_y
_atom_site_fract_z
Mg1 0.0000 0.0000 0.0000
Zn1 0.0000 0.0000 0.5000
Cu1 0.2500 0.2500 0.2500
Pt1 0.2500 0.2500 0.7500
```

V, Å³/cell: 236.2
DOS at the Fermi energy, states/eV per atom: 0.402
Total moment, μB/atom: 0.000


entry a is favored, and the nearest alternative lies 9 meV/atom above it.


Entry a
This record from the Alexandria database describes a geometry-optimized Pu2MgCu structure. The functional is PBE-GGA.

Cell and atoms, written as CIF:
```
data_Pu2MgCu
_cell_length_a 3.1983
_cell_length_b 3.1983
_cell_length_c 8.8134
_cell_angle_alpha 90.00
_cell_angle_beta 90.00
_cell_angle_gamma 90.00
_symmetry_space_group_name_H-M 'P 4/m m m'
_symmetry_Int_Tables_number 123
_symmetry_space_group_name_Hall '-P 4 2'
loop_
_atom_site_label
_atom_site_fract_x
_atom_site_fract_y
_atom_site_fract_z
Pu1 0.0000 0.0000 0.2169
Mg1 0.5000 0.5000 0.5000
Cu1 0.5000 0.5000 0.0000
```

V, Å³/cell: 90.2
DOS at the Fermi energy, states/eV per atom: 3.327
Total moment, μB/atom: 2.940


Entry b
This record from the Alexandria database describes a geometry-optimized Pu2MgCu structure. The functional is PBE-GGA.

Cell and atoms, written as CIF:
```
data_Pu2MgCu
_cell_length_a 2.9615
_cell_length_b 2.9615
_cell_length_c 33.9700
_cell_angle_alpha 90.00
_cell_angle_beta 90.00
_cell_angle_gamma 120.00
_symmetry_space_group_name_H-M 'R -3 m'
_symmetry_Int_Tables_number 166
_symmetry_space_group_name_Hall '-R 3 2"'
loop_
_atom_site_label
_atom_site_fract_x
_atom_site_fract_y
_atom_site_fract_z
Pu1 0.0000 0.0000 0.0944
Mg1 0.0000 0.0000 0.0000
Cu1 0.0000 0.0000 0.5000
```

V, Å³/cell: 258.0
DOS at the Fermi energy, states/eV per atom: 2.670
Total moment, μB/atom: 2.492


entry a is favored, and the nearest alternative lies 239 meV/atom above it.